First-principles (PBE) data for a geometry-optimized AgSn3Se6 structure, as listed in Alexandria.

a = 7.853 Å, b = 7.294 Å, c = 7.172 Å
α = 65.75°, β = 57.87°, γ = 56.38°
Element x y z (fractional)
Ag 0.000 0.000 0.000
Sn 0.250 0.250 0.250
Sn 0.500 0.500 0.500
Sn 0.750 0.750 0.750
Se 0.103 0.897 0.629
Se 0.265 0.265 0.735
Se 0.371 0.629 0.897
Se 0.629 0.371 0.103
Se 0.735 0.735 0.265
Se 0.897 0.103 0.371

Values from the calculation:
**ΔE_f (raw)**: -0.361 eV/f.u.
**Total energy**: -3.613 eV/atom
**SG**: Fmmm (69)